[1]
Entry from Alexandria via LeMat-Bulk: crystalline TlHgRu2O8 at its relaxed geometry (PBE).

The structure in POSCAR format:
```
TlHgRu2O8
1.0
5.5400 -2.9974 0.0000
5.5400 2.9974 0.0000
-2.4597 0.0000 6.3704
Tl Hg Ru O
1 1 2 8
Cartesian
0.0000 0.0000 0.0000
4.3101 0.0000 3.1852
0.6653 0.0000 4.3993
7.9549 0.0000 1.9711
3.3349 1.5661 1.5024
0.6794 0.0000 2.6363
2.3365 0.0000 4.9213
5.2854 1.5661 4.8680
3.3349 -1.5661 1.5024
6.2837 0.0000 1.4491
7.9408 0.0000 3.7340
5.2854 -1.5661 4.8680
```

SG = C2/m
total DFT energy (no corrections) = -68.8 eV per cell

[2]
Entry from Alexandria via LeMat-Bulk: crystalline Tl2HgRuO8 at its relaxed geometry (PBE).

The structure in POSCAR format:
```
Tl2HgRuO8
1.0
4.8437 0.0000 0.0000
0.0000 7.0043 0.0000
-0.3366 0.0000 5.0325
Tl Hg Ru O
2 1 1 8
Cartesian
0.0000 1.7344 0.0000
0.0000 5.2699 0.0000
2.2535 3.5021 2.5163
2.2535 0.0000 2.5163
1.0739 3.5021 0.8199
1.1190 0.0000 0.9311
1.2070 1.3553 3.2664
1.2070 5.6490 3.2664
3.3001 1.3553 1.7661
3.3001 5.6490 1.7661
3.3881 0.0000 4.1014
3.4332 3.5021 4.2126
```

SG = P2/m
total DFT energy (no corrections) = -59.2 eV per cell

[3]
Entry from Alexandria via LeMat-Bulk: crystalline UHgRuO6 at its relaxed geometry (PBE).

The structure in POSCAR format:
```
UHgRuO6
1.0
-3.6254 3.9406 5.4296
3.6254 -3.9406 5.4296
3.6254 3.9406 -5.4296
U Hg Ru O
2 2 2 12
Cartesian
0.0000 0.0000 0.0000
0.0000 3.9406 0.0000
3.6254 1.9703 0.4308
0.0000 1.9703 4.9989
1.8127 1.9703 -2.7148
1.8127 -1.9703 2.7148
1.4328 -0.6093 1.3762
5.8180 -0.6093 1.3762
3.6254 1.9703 -2.1236
1.4328 3.3313 -1.3762
2.1926 -0.6093 4.0535
0.0000 1.9703 0.7365
3.6254 1.9703 4.6932
1.4328 4.5499 1.3762
2.1926 0.6093 6.8058
0.0000 1.9703 7.5533
-2.1926 4.5499 4.0535
2.1926 4.5499 4.0535
```

SG = Imma
total DFT energy (no corrections) = -130.2 eV per cell

no.,D(E_F) (states/eV per atom),uncorrected formation energy (kcal/mol of atoms),total magnetic moment (μB/cell)
1,0.483,-15.24,0.000
2,0.254,-10.09,0.000
3,0.385,-37.12,2.485